No. 1
# Ca2BeN GGA-PBE relaxed
# Symmetry: Fm-3m, No. 225
# E_form (uncorrected) in eV/atom: 0.451
# Relative energy among the computed polymorphs in eV per atom: 0.307
data_Ca2BeN
_symmetry_space_group_name_H-M 'P 1'
_symmetry_Int_Tables_number 1
_symmetry_space_group_name_Hall 'P 1'
_cell_length_a 4.647
_cell_length_b 4.647
_cell_length_c 4.647
_cell_angle_alpha 60.00
_cell_angle_beta 60.00
_cell_angle_gamma 60.00
loop_
_atom_site_label
_atom_site_type_symbol
_atom_site_fract_x
_atom_site_fract_y
_atom_site_fract_z
Be1 Be 0.000 0.000 0.000
N1 N 0.500 0.500 0.500
Ca1 Ca 0.250 0.250 0.250
Ca2 Ca 0.750 0.750 0.750

***

No. 2
# CaBe2N2 GGA-PBE relaxed
# Symmetry: Pnma, No. 62
# E_form (uncorrected) in eV/atom: -0.964
data_CaBe2N2
_symmetry_space_group_name_H-M 'P 1'
_symmetry_Int_Tables_number 1
_symmetry_space_group_name_Hall 'P 1'
_cell_length_a 3.026
_cell_length_b 7.261
_cell_length_c 8.360
_cell_angle_alpha 90.00
_cell_angle_beta 90.00
_cell_angle_gamma 90.00
loop_
_atom_site_label
_atom_site_type_symbol
_atom_site_fract_x
_atom_site_fract_y
_atom_site_fract_z
N1 N 0.750 0.651 0.469
N2 N 0.250 0.849 0.969
N3 N 0.750 0.018 0.645
Be1 Be 0.750 0.449 0.578
Ca1 Ca 0.750 0.245 0.309
N4 N 0.250 0.349 0.531
N5 N 0.750 0.518 0.855
Be2 Be 0.250 0.595 0.954
Be3 Be 0.250 0.551 0.422
Be4 Be 0.750 0.949 0.922
Be5 Be 0.750 0.405 0.046
Be6 Be 0.250 0.095 0.546
Be7 Be 0.750 0.905 0.454
Ca2 Ca 0.250 0.755 0.691
N6 N 0.250 0.482 0.145
N7 N 0.250 0.982 0.355
N8 N 0.750 0.151 0.031
Be8 Be 0.250 0.051 0.078
Ca3 Ca 0.750 0.745 0.191
Ca4 Ca 0.250 0.255 0.809

***

No. 3
# CaBeN3 GGA-PBE relaxed
# Symmetry: Pm-3m, No. 221
# E_form (uncorrected) in eV/atom: 2.466
data_CaBeN3
_symmetry_space_group_name_H-M 'P 1'
_symmetry_Int_Tables_number 1
_symmetry_space_group_name_Hall 'P 1'
_cell_length_a 4.388
_cell_length_b 4.388
_cell_length_c 4.388
_cell_angle_alpha 90.00
_cell_angle_beta 90.00
_cell_angle_gamma 90.00
loop_
_atom_site_label
_atom_site_type_symbol
_atom_site_fract_x
_atom_site_fract_y
_atom_site_fract_z
N1 N 0.000 0.500 0.000
N2 N 0.500 0.000 0.000
Ca1 Ca 0.000 0.000 0.000
N3 N 0.000 0.000 0.500
Be1 Be 0.500 0.500 0.500

***

Number 1: calculated volume 17.74 Å³ per atom. Number 2: calculated volume 9.19 Å³ per atom. Number 3: calculated volume 16.89 Å³ per atom.